Record 1
Here is Pu2TeCl after structural relaxation from the Alexandria database. Energies are from PBE.

Results
The calculation puts the energy above the most stable polymorph in this dataset at 0.093 eV/atom. As for the raw formation energy: -3.9 eV per formula unit. Its raw total energy is -112.7 eV per cell.

Cell: 4.0957 4.0957 23.0954 Å, 90.00 90.00 120.00°
Space group R3m (No. 160, hexagonal axes)
Symmetry-distinct sites (fractional):
1 Pu 0.0000 0.0000 0.0000 x3
2 Pu 0.0000 0.0000 0.1598 x3
3 Te 0.0000 0.0000 0.5807 x3
4 Cl 0.0000 0.0000 0.4105 x3

Record 2
Here is Pu2TeCl3 after structural relaxation from the Alexandria database. Energies are from PBE.

Results
The calculation puts the energy above the most stable polymorph in this dataset at 0.000 eV/atom. As for the raw formation energy: -9.6 eV per formula unit. Its raw total energy is -187.9 eV per cell.

Cell: 16.338 4.319 11.293 Å, 90.00 112.21 90.00°
Space group C2/m (No. 12)
Symmetry-distinct sites (fractional):
1 Pu 0.025 0.000 0.187 x4
2 Pu 0.229 0.500 0.835 x4
3 Te 0.119 0.500 0.024 x4
4 Cl 0.044 0.500 0.342 x4
5 Cl 0.124 0.000 0.724 x4
6 Cl 0.204 0.000 0.342 x4

Record 3
Here is Pu2TeCl3 after structural relaxation from the Alexandria database. Energies are from PBE.

Results
The calculation puts the energy above the most stable polymorph in this dataset at 0.004 eV/atom. As for the raw formation energy: -9.6 eV per formula unit. Its raw total energy is -187.8 eV per cell.

Cell: 18.218 4.154 10.164 Å, 90.00 121.05 90.00°
Space group C2/m (No. 12)
Symmetry-distinct sites (fractional):
1 Pu 0.000 0.000 0.180 x4
2 Pu 0.220 0.500 0.752 x4
3 Te 0.117 0.500 0.129 x4
4 Cl 0.031 0.500 0.674 x4
5 Cl 0.156 0.000 0.521 x4
6 Cl 0.177 0.000 0.898 x4

Record 4
Here is Pu3TeCl3 after structural relaxation from the Alexandria database. Energies are from PBE.

Results
As for the raw formation energy: -4.7 eV per formula unit. Its raw total energy is -338.2 eV per cell.

Cell: 6.4508 6.4508 30.8751 Å, 90.00 90.00 120.00°
Space group R-3 (No. 148, hexagonal axes)
Symmetry-distinct sites (fractional):
1 Pu 0.0001 0.2101 0.4415 x18
2 Te 0.0000 0.0000 0.1667 x6
3 Cl 0.9998 0.4234 0.6083 x18

Record 5
Here is Pu2TeCl after structural relaxation from the Alexandria database. Energies are from PBE.

Results
The calculation puts the energy above the most stable polymorph in this dataset at 0.000 eV/atom. As for the raw formation energy: -4.3 eV per formula unit. Its raw total energy is -113.9 eV per cell.

Cell: 4.3066 4.3066 19.9892 Å, 90.00 90.00 120.00°
Space group R-3m (No. 166, hexagonal axes)
Symmetry-distinct sites (fractional):
1 Pu 0.0000 0.0000 0.2397 x6
2 Te 0.0000 0.0000 0.0000 x3
3 Cl 0.0000 0.0000 0.5000 x3

Record 6
Here is Pu2TeCl5 after structural relaxation from the Alexandria database. Energies are from PBE.

Results
As for the raw formation energy: -11.9 eV per formula unit. Its raw total energy is -105.8 eV per cell.

Cell: 4.537 8.579 10.602 Å, 90.00 90.00 90.00°
Space group Immm (No. 71)
Symmetry-distinct sites (fractional):
1 Pu 0.000 0.000 0.245 x4
2 Te 0.000 0.500 0.500 x2
3 Cl 0.000 0.000 0.500 x2
4 Cl 0.000 0.316 0.167 x8

Record 7
Here is Pu2TeCl after structural relaxation from the Alexandria database. Energies are from PBE.

Results
The calculation puts the energy above the most stable polymorph in this dataset at 0.083 eV/atom. As for the raw formation energy: -4.0 eV per formula unit. Its raw total energy is -150.5 eV per cell.

Cell: 7.455 7.455 7.455 Å, 90.00 90.00 90.00°
Space group Fm-3m (No. 225)
Symmetry-distinct sites (fractional):
1 Pu 0.250 0.250 0.250 x8
2 Te 0.000 0.000 0.000 x4
3 Cl 0.000 0.000 0.500 x4

Record 8
Here is PuTeCl3 after structural relaxation from the Alexandria database. Energies are from PBE.

Results
As for the raw formation energy: -5.9 eV per formula unit. Its raw total energy is -57.8 eV per cell.

Cell: 6.534 7.464 7.424 Å, 90.00 90.19 90.00°
Space group Pm (No. 6)
Symmetry-distinct sites (fractional):
1 Pu 0.000 0.000 0.000 x1
2 Pu 0.500 0.500 0.045 x1
3 Te 0.242 0.000 0.334 x1
4 Te 0.740 0.500 0.710 x1
5 Cl 0.263 0.253 0.876 x2
6 Cl 0.299 0.500 0.335 x1
7 Cl 0.764 0.247 0.169 x2
8 Cl 0.797 0.000 0.709 x1

Record 9
Here is Pu2TeCl after structural relaxation from the Alexandria database. Energies are from PBE.

Results
The calculation puts the energy above the most stable polymorph in this dataset at 0.107 eV/atom. As for the raw formation energy: -3.9 eV per formula unit. Its raw total energy is -37.5 eV per cell.

Cell: 5.225 5.225 3.800 Å, 90.00 90.00 90.00°
Space group P4/mmm (No. 123)
Symmetry-distinct sites (fractional):
1 Pu 0.000 0.500 0.000 x2
2 Te 0.000 0.000 0.500 x1
3 Cl 0.500 0.500 0.500 x1

Record 10
Here is PuThTe2Cl after structural relaxation from the Alexandria database. Energies are from PBE.

Results
As for the raw formation energy: -6.5 eV per formula unit. Its raw total energy is -72.8 eV per cell.

Cell: 4.408 4.408 15.105 Å, 90.00 90.00 90.00°
Space group P4/nmm (No. 129, origin choice 2)
Symmetry-distinct sites (fractional):
1 Pu 0.250 0.250 0.128 x2
2 Th 0.250 0.250 0.588 x2
3 Te 0.250 0.250 0.370 x2
4 Te 0.250 0.250 0.799 x2
5 Cl 0.250 0.750 0.000 x2

Record 11
Here is PuTlTeCl2 after structural relaxation from the Alexandria database. Energies are from PBE.

Results
As for the raw formation energy: -6.2 eV per formula unit. Its raw total energy is -118.9 eV per cell.

Cell: 4.510 17.584 8.823 Å, 90.00 90.00 90.00°
Space group Cmcm (No. 63)
Symmetry-distinct sites (fractional):
1 Pu 0.000 0.000 0.000 x4
2 Tl 0.000 0.300 0.250 x4
3 Te 0.000 0.498 0.250 x4
4 Cl 0.000 0.152 0.503 x8

Record 12
Here is TmPuTe2Cl after structural relaxation from the Alexandria database. Energies are from PBE.

Results
As for the raw formation energy: -6.8 eV per formula unit. Its raw total energy is -67.5 eV per cell.

Cell: 4.359 4.359 15.038 Å, 90.00 90.00 90.00°
Space group P4/nmm (No. 129, origin choice 2)
Symmetry-distinct sites (fractional):
1 Tm 0.250 0.250 0.094 x2
2 Pu 0.250 0.250 0.629 x2
3 Te 0.250 0.250 0.294 x2
4 Te 0.250 0.250 0.890 x2
5 Cl 0.250 0.750 0.500 x2